1) # RbTmTe3Pb (PBE, relaxed)
data_RbTmTe3Pb
_cell_length_a 4.4625
_cell_length_b 16.8198
_cell_length_c 12.7080
_cell_angle_alpha 90.00
_cell_angle_beta 90.00
_cell_angle_gamma 90.00
_space_group_name_H-M_alt 'C m c m'
_space_group_IT_number 63
_space_group_name_Hall '-C 2c 2'
loop_
_atom_site_label
_atom_site_type_symbol
_atom_site_fract_x
_atom_site_fract_y
_atom_site_fract_z
_atom_site_occupancy
Rb1 Rb 0.0000 0.2227 0.2500 1
Tm1 Tm 0.0000 0.5000 0.0000 1
Te1 Te 0.0000 0.1253 0.5105 1
Te2 Te 0.0000 0.4597 0.7500 1
Pb1 Pb 0.0000 0.0803 0.7500 1
# - M_tot (μB per formula unit) = 0.00

---

2) # RbTmTe3Pb (PBE, relaxed)
data_RbTmTe3Pb
_cell_length_a 16.9146
_cell_length_b 4.4454
_cell_length_c 12.7101
_cell_angle_alpha 90.00
_cell_angle_beta 90.00
_cell_angle_gamma 90.00
_space_group_name_H-M_alt 'P n m a'
_space_group_IT_number 62
loop_
_space_group_symop_operation_xyz
'x,y,z'
'-x,-y,-z'
'-x+1/2,-y,z+1/2'
'x+1/2,y,-z+1/2'
'x+1/2,-y+1/2,-z+1/2'
'-x+1/2,y+1/2,z+1/2'
'-x,y+1/2,-z'
'x,-y+1/2,z'
loop_
_atom_site_label
_atom_site_type_symbol
_atom_site_fract_x
_atom_site_fract_y
_atom_site_fract_z
_atom_site_occupancy
Rb1 Rb 0.2283 0.2500 0.0763 1
Tm1 Tm 0.0091 0.7500 0.6452 1
Te1 Te 0.0900 0.7500 0.2450 1
Te2 Te 0.1030 0.2500 0.5392 1
Te3 Te 0.1403 0.7500 0.8198 1
Pb1 Pb 0.0395 0.2500 0.9101 1
# - M_tot (μB per formula unit) = 0.00

---

Which of them is most stable? Easy: 2).

---

1) # SmRePb (PBE, relaxed)
data_SmRePb
_cell_length_a 6.8069
_cell_length_b 6.8069
_cell_length_c 6.8069
_cell_angle_alpha 90.00
_cell_angle_beta 90.00
_cell_angle_gamma 90.00
_space_group_name_H-M_alt 'F -4 3 m'
_space_group_IT_number 216
_space_group_name_Hall 'F -4 2 3'
loop_
_atom_site_label
_atom_site_type_symbol
_atom_site_fract_x
_atom_site_fract_y
_atom_site_fract_z
_atom_site_occupancy
Sm1 Sm 0.0000 0.0000 0.0000 1
Re1 Re 0.0000 0.0000 0.5000 1
Pb1 Pb 0.2500 0.2500 0.7500 1
# - M_tot (μB per formula unit) = 0.17

---

2) # SmRePb (PBE, relaxed)
data_SmRePb
_cell_length_a 6.9839
_cell_length_b 6.9839
_cell_length_c 6.9839
_cell_angle_alpha 90.00
_cell_angle_beta 90.00
_cell_angle_gamma 90.00
_space_group_name_H-M_alt 'F -4 3 m'
_space_group_IT_number 216
_space_group_name_Hall 'F -4 2 3'
loop_
_atom_site_label
_atom_site_type_symbol
_atom_site_fract_x
_atom_site_fract_y
_atom_site_fract_z
_atom_site_occupancy
Sm1 Sm 0.0000 0.0000 0.0000 1
Re1 Re 0.2500 0.2500 0.2500 1
Pb1 Pb 0.2500 0.2500 0.7500 1
# - M_tot (μB per formula unit) = 1.39

---

Which of them is most stable? Easy: 1).

---

1) # TmRePb (PBE, relaxed)
data_TmRePb
_cell_length_a 6.7816
_cell_length_b 6.7816
_cell_length_c 6.7816
_cell_angle_alpha 90.00
_cell_angle_beta 90.00
_cell_angle_gamma 90.00
_space_group_name_H-M_alt 'F -4 3 m'
_space_group_IT_number 216
_space_group_name_Hall 'F -4 2 3'
loop_
_atom_site_label
_atom_site_type_symbol
_atom_site_fract_x
_atom_site_fract_y
_atom_site_fract_z
_atom_site_occupancy
Tm1 Tm 0.0000 0.0000 0.0000 1
Re1 Re 0.2500 0.2500 0.2500 1
Pb1 Pb 0.2500 0.2500 0.7500 1
# - M_tot (μB per formula unit) = 0.05

---

2) # TmRePb (PBE, relaxed)
data_TmRePb
_cell_length_a 6.6684
_cell_length_b 6.6684
_cell_length_c 6.6684
_cell_angle_alpha 90.00
_cell_angle_beta 90.00
_cell_angle_gamma 90.00
_space_group_name_H-M_alt 'F -4 3 m'
_space_group_IT_number 216
_space_group_name_Hall 'F -4 2 3'
loop_
_atom_site_label
_atom_site_type_symbol
_atom_site_fract_x
_atom_site_fract_y
_atom_site_fract_z
_atom_site_occupancy
Tm1 Tm 0.0000 0.0000 0.0000 1
Re1 Re 0.0000 0.0000 0.5000 1
Pb1 Pb 0.2500 0.2500 0.7500 1
# - M_tot (μB per formula unit) = 0.17

---

Which of them is most stable? Easy: 2).

---

1) # TmTlPbS3 (PBE, relaxed)
data_TmTlPbS3
_cell_length_a 14.4220
_cell_length_b 3.9851
_cell_length_c 12.3844
_cell_angle_alpha 90.00
_cell_angle_beta 90.00
_cell_angle_gamma 90.00
_space_group_name_H-M_alt 'P n m a'
_space_group_IT_number 62
loop_
_space_group_symop_operation_xyz
'x,y,z'
'-x,-y,-z'
'-x+1/2,-y,z+1/2'
'x+1/2,y,-z+1/2'
'x+1/2,-y+1/2,-z+1/2'
'-x+1/2,y+1/2,z+1/2'
'-x,y+1/2,-z'
'x,-y+1/2,z'
loop_
_atom_site_label
_atom_site_type_symbol
_atom_site_fract_x
_atom_site_fract_y
_atom_site_fract_z
_atom_site_occupancy
Tm1 Tm 0.0018 0.2500 0.1390 1
Tl1 Tl 0.2392 0.2500 0.4009 1
Pb1 Pb 0.0529 0.2500 0.6072 1
S1 S 0.0874 0.7500 0.2520 1
S2 S 0.1001 0.2500 0.9569 1
S3 S 0.1400 0.7500 0.7086 1
# - M_tot (μB per formula unit) = 0.00

---

2) # TmTlPbS3 (PBE, relaxed)
data_TmTlPbS3
_cell_length_a 4.0025
_cell_length_b 18.0231
_cell_length_c 10.5318
_cell_angle_alpha 90.00
_cell_angle_beta 90.00
_cell_angle_gamma 90.00
_space_group_name_H-M_alt 'C m c m'
_space_group_IT_number 63
_space_group_name_Hall '-C 2c 2'
loop_
_atom_site_label
_atom_site_type_symbol
_atom_site_fract_x
_atom_site_fract_y
_atom_site_fract_z
_atom_site_occupancy
Tm1 Tm 0.0000 0.0000 0.0000 1
Tl1 Tl 0.0000 0.3116 0.2500 1
Pb1 Pb 0.0000 0.3689 0.7500 1
S1 S 0.0000 0.0296 0.2500 1
S2 S 0.0000 0.3995 0.0267 1
# - M_tot (μB per formula unit) = 0.00

---

Which of them is most stable? Easy: 1).

---

1) # ScUPb (PBE, relaxed)
data_ScUPb
_cell_length_a 7.2420
_cell_length_b 7.2420
_cell_length_c 7.2420
_cell_angle_alpha 90.00
_cell_angle_beta 90.00
_cell_angle_gamma 90.00
_space_group_name_H-M_alt 'F -4 3 m'
_space_group_IT_number 216
_space_group_name_Hall 'F -4 2 3'
loop_
_atom_site_label
_atom_site_type_symbol
_atom_site_fract_x
_atom_site_fract_y
_atom_site_fract_z
_atom_site_occupancy
Sc1 Sc 0.0000 0.0000 0.0000 1
U1 U 0.2500 0.2500 0.7500 1
Pb1 Pb 0.0000 0.0000 0.5000 1
# - M_tot (μB per formula unit) = 4.99

---

2) # ScUPb (PBE, relaxed)
data_ScUPb
_cell_length_a 7.0498
_cell_length_b 7.0498
_cell_length_c 7.0498
_cell_angle_alpha 90.00
_cell_angle_beta 90.00
_cell_angle_gamma 90.00
_space_group_name_H-M_alt 'F -4 3 m'
_space_group_IT_number 216
_space_group_name_Hall 'F -4 2 3'
loop_
_atom_site_label
_atom_site_type_symbol
_atom_site_fract_x
_atom_site_fract_y
_atom_site_fract_z
_atom_site_occupancy
Sc1 Sc 0.0000 0.0000 0.0000 1
U1 U 0.2500 0.2500 0.2500 1
Pb1 Pb 0.2500 0.2500 0.7500 1
# - M_tot (μB per formula unit) = 4.90

---

Which of them is most stable? Easy: 2).

---

1) # TmTlPbSe3 (PBE, relaxed)
data_TmTlPbSe3
_cell_length_a 14.7961
_cell_length_b 4.1317
_cell_length_c 12.4095
_cell_angle_alpha 90.00
_cell_angle_beta 90.00
_cell_angle_gamma 90.00
_space_group_name_H-M_alt 'P n m a'
_space_group_IT_number 62
loop_
_space_group_symop_operation_xyz
'x,y,z'
'-x,-y,-z'
'-x+1/2,-y,z+1/2'
'x+1/2,y,-z+1/2'
'x+1/2,-y+1/2,-z+1/2'
'-x+1/2,y+1/2,z+1/2'
'-x,y+1/2,-z'
'x,-y+1/2,z'
loop_
_atom_site_label
_atom_site_type_symbol
_atom_site_fract_x
_atom_site_fract_y
_atom_site_fract_z
_atom_site_occupancy
Tm1 Tm 0.0024 0.2500 0.1435 1
Tl1 Tl 0.2354 0.7500 0.5931 1
Pb1 Pb 0.0514 0.7500 0.4015 1
Se1 Se 0.0929 0.2500 0.7447 1
Se2 Se 0.1052 0.7500 0.0411 1
Se3 Se 0.1474 0.2500 0.3016 1
# - M_tot (μB per formula unit) = 0.00

---

2) # TmTlPbSe3 (PBE, relaxed)
data_TmTlPbSe3
_cell_length_a 4.1099
_cell_length_b 15.7916
_cell_length_c 11.6754
_cell_angle_alpha 90.00
_cell_angle_beta 90.00
_cell_angle_gamma 90.00
_space_group_name_H-M_alt 'C m c m'
_space_group_IT_number 63
_space_group_name_Hall '-C 2c 2'
loop_
_atom_site_label
_atom_site_type_symbol
_atom_site_fract_x
_atom_site_fract_y
_atom_site_fract_z
_atom_site_occupancy
Tm1 Tm 0.0000 0.0000 0.0000 1
Tl1 Tl 0.0000 0.3179 0.2500 1
Pb1 Pb 0.0000 0.3737 0.7500 1
Se1 Se 0.0000 0.0007 0.7500 1
Se2 Se 0.0000 0.3777 0.0047 1
# - M_tot (μB per formula unit) = 0.00

---

Which of them is most stable? Easy: 1).

---

1) # U2PbSe5 (PBE, relaxed)
data_U2PbSe5
_cell_length_a 8.6107
_cell_length_b 7.8221
_cell_length_c 12.2622
_cell_angle_alpha 90.00
_cell_angle_beta 90.40
_cell_angle_gamma 90.00
_space_group_name_H-M_alt 'P 1 21/c 1'
_space_group_IT_number 14
loop_
_space_group_symop_operation_xyz
'x,y,z'
'-x,-y,-z'
'-x,y+1/2,-z+1/2'
'x,-y+1/2,z+1/2'
loop_
_atom_site_label
_atom_site_type_symbol
_atom_site_fract_x
_atom_site_fract_y
_atom_site_fract_z
_atom_site_occupancy
U1 U 0.0004 0.0192 0.1820 1
U2 U 0.2441 0.0787 0.4928 1
Pb1 Pb 0.4864 0.0130 0.1805 1
Se1 Se 0.0494 0.6648 0.0979 1
Se2 Se 0.2188 0.0446 0.9987 1
Se3 Se 0.2228 0.6659 0.8170 1
Se4 Se 0.2325 0.1958 0.7179 1
Se5 Se 0.4595 0.6623 0.0872 1
# - M_tot (μB per formula unit) = 4.00

---

2) # U2PbSe5 (PBE, relaxed)
data_U2PbSe5
_cell_length_a 12.8537
_cell_length_b 8.0832
_cell_length_c 7.8158
_cell_angle_alpha 90.00
_cell_angle_beta 90.00
_cell_angle_gamma 90.00
_space_group_name_H-M_alt 'P n m a'
_space_group_IT_number 62
loop_
_space_group_symop_operation_xyz
'x,y,z'
'-x,-y,-z'
'-x+1/2,-y,z+1/2'
'x+1/2,y,-z+1/2'
'x+1/2,-y+1/2,-z+1/2'
'-x+1/2,y+1/2,z+1/2'
'-x,y+1/2,-z'
'x,-y+1/2,z'
loop_
_atom_site_label
_atom_site_type_symbol
_atom_site_fract_x
_atom_site_fract_y
_atom_site_fract_z
_atom_site_occupancy
U1 U 0.1784 0.0011 0.0148 1
Pb1 Pb 0.0077 0.2500 0.5615 1
Se1 Se 0.0012 0.2500 0.9831 1
Se2 Se 0.1213 0.5361 0.6677 1
Se3 Se 0.1875 0.2500 0.3186 1
Se4 Se 0.2127 0.7500 0.2995 1
# - M_tot (μB per formula unit) = 4.00

---

Which of them is most stable? Easy: 1).

---

1) # SmSiPb (PBE, relaxed)
data_SmSiPb
_cell_length_a 7.1385
_cell_length_b 7.1385
_cell_length_c 7.1385
_cell_angle_alpha 90.00
_cell_angle_beta 90.00
_cell_angle_gamma 90.00
_space_group_name_H-M_alt 'F -4 3 m'
_space_group_IT_number 216
_space_group_name_Hall 'F -4 2 3'
loop_
_atom_site_label
_atom_site_type_symbol
_atom_site_fract_x
_atom_site_fract_y
_atom_site_fract_z
_atom_site_occupancy
Sm1 Sm 0.0000 0.0000 0.0000 1
Si1 Si 0.2500 0.2500 0.2500 1
Pb1 Pb 0.2500 0.2500 0.7500 1
# - M_tot (μB per formula unit) = 0.00

---

2) # SmSiPb (PBE, relaxed)
data_SmSiPb
_cell_length_a 7.0097
_cell_length_b 7.0097
_cell_length_c 7.0097
_cell_angle_alpha 90.00
_cell_angle_beta 90.00
_cell_angle_gamma 90.00
_space_group_name_H-M_alt 'F -4 3 m'
_space_group_IT_number 216
_space_group_name_Hall 'F -4 2 3'
loop_
_atom_site_label
_atom_site_type_symbol
_atom_site_fract_x
_atom_site_fract_y
_atom_site_fract_z
_atom_site_occupancy
Sm1 Sm 0.0000 0.0000 0.0000 1
Si1 Si 0.2500 0.2500 0.7500 1
Pb1 Pb 0.0000 0.0000 0.5000 1
# - M_tot (μB per formula unit) = 0.00

---

Which of them is most stable? Easy: 2).